[1]
# PBEsol MoP2, relaxed
# - Calculated formation energy: 0.018 eV per atom
# - Calculated volume: 42 Å³/cell
# - DOS(E_F): 1.8 states/eV per cell
# - Calculated density: 6.19 g cm⁻³
# - E: -7.765 eV per atom
data_MoP2
_chemical_formula_sum 'Mo1 P2'
_cell_length_a 4.4285
_cell_length_b 4.4285
_cell_length_c 2.4921
_cell_angle_alpha 90.00
_cell_angle_beta 90.00
_cell_angle_gamma 120.00
_symmetry_space_group_name_H-M 'P 6/m m m'
_symmetry_Int_Tables_number 191
_symmetry_space_group_name_Hall '-P 6 2'
loop_
_atom_site_label
_atom_site_type_symbol
_atom_site_fract_x
_atom_site_fract_y
_atom_site_fract_z
_atom_site_occupancy
Mo1 Mo 0.0000 0.0000 0.0000 1
P1 P 0.3333 0.6667 0.0000 1


[2]
# PBEsol AgTeBr2, relaxed
# - Distance to the lowest polymorph of the same formula: 0.138 eV/atom
# - Calculated volume: 405 Å³/cell
# - DOS(E_F): 10.7 states/eV per cell
# - E_form (uncorrected): 0.5 eV/f.u.
# - Calculated density: 6.48 g cm⁻³
# - E: -2.516 eV per atom
data_AgTeBr2
_chemical_formula_sum 'Ag4 Te4 Br8'
_cell_length_a 7.818
_cell_length_b 7.818
_cell_length_c 6.624
_cell_angle_alpha 90.00
_cell_angle_beta 90.00
_cell_angle_gamma 90.00
_symmetry_space_group_name_H-M 'I -4 2 d'
_symmetry_Int_Tables_number 122
_symmetry_space_group_name_Hall 'I -4 2bw'
loop_
_atom_site_label
_atom_site_type_symbol
_atom_site_fract_x
_atom_site_fract_y
_atom_site_fract_z
_atom_site_occupancy
Ag1 Ag 0.000 0.000 0.000 1
Te1 Te 0.000 0.000 0.500 1
Br1 Br 0.213 0.750 0.125 1


[3]
# PBEsol OsPbSeN2, relaxed
# - Calculated volume: 96 Å³/cell
# - DOS(E_F): 4.3 states/eV per cell
# - E_form (uncorrected): 12.8 eV/f.u.
# - Calculated density: 8.76 g cm⁻³
# - E: -4.871 eV per atom
data_OsPbSeN2
_chemical_formula_sum 'Os1 Pb1 Se1 N2'
_cell_length_a 4.085
_cell_length_b 4.085
_cell_length_c 5.734
_cell_angle_alpha 90.00
_cell_angle_beta 90.00
_cell_angle_gamma 90.00
_symmetry_space_group_name_H-M 'P 4/m m m'
_symmetry_Int_Tables_number 123
_symmetry_space_group_name_Hall '-P 4 2'
loop_
_atom_site_label
_atom_site_type_symbol
_atom_site_fract_x
_atom_site_fract_y
_atom_site_fract_z
_atom_site_occupancy
Os1 Os 0.000 0.000 0.000 1
Pb1 Pb 0.500 0.500 0.500 1
Se1 Se 0.500 0.500 0.000 1
N1 N 0.000 0.500 0.500 1


[4]
# PBEsol Cr2RuW, relaxed
# - Distance to the lowest polymorph of the same formula: 0.114 eV/atom
# - Calculated formation energy: 0.302 eV per atom
# - Calculated volume: 105 Å³/cell
# - DOS(E_F): 10.2 states/eV per cell
# - Calculated density: 12.25 g cm⁻³
# - E: -10.814 eV per atom
data_Cr2RuW
_chemical_formula_sum 'Cr4 Ru2 W2'
_cell_length_a 8.823
_cell_length_b 2.686
_cell_length_c 4.545
_cell_angle_alpha 90.00
_cell_angle_beta 101.66
_cell_angle_gamma 90.00
_symmetry_space_group_name_H-M 'C 1 2/m 1'
_symmetry_Int_Tables_number 12
loop_
_symmetry_equiv_pos_as_xyz
'x,y,z'
'-x,-y,-z'
'-x,y,-z'
'x,-y,z'
'x+1/2,y+1/2,z'
'-x+1/2,-y+1/2,-z'
'-x+1/2,y+1/2,-z'
'x+1/2,-y+1/2,z'
loop_
_atom_site_label
_atom_site_type_symbol
_atom_site_fract_x
_atom_site_fract_y
_atom_site_fract_z
_atom_site_occupancy
Cr1 Cr 0.241 0.000 0.235 1
Ru1 Ru 0.000 0.500 0.000 1
W1 W 0.000 0.000 0.500 1


[5]
# PBEsol NbPtN2, relaxed
# - Calculated volume: 169 Å³/cell
# - DOS(E_F): 11.6 states/eV per cell
# - E_form (uncorrected): 2.0 eV/f.u.
# - Calculated density: 12.45 g cm⁻³
# - E: -8.202 eV per atom
data_NbPtN2
_chemical_formula_sum 'Nb4 Pt4 N8'
_cell_length_a 5.524
_cell_length_b 5.524
_cell_length_c 5.524
_cell_angle_alpha 90.00
_cell_angle_beta 90.00
_cell_angle_gamma 90.00
_symmetry_space_group_name_H-M 'F m -3 m'
_symmetry_Int_Tables_number 225
_symmetry_space_group_name_Hall '-F 4 2 3'
loop_
_atom_site_label
_atom_site_type_symbol
_atom_site_fract_x
_atom_site_fract_y
_atom_site_fract_z
_atom_site_occupancy
Nb1 Nb 0.000 0.000 0.000 1
Pt1 Pt 0.000 0.000 0.500 1
N1 N 0.250 0.250 0.250 1


[6]
# PBEsol ScTlHg2, relaxed
# - Calculated formation energy: -0.284 eV per atom
# - Calculated volume: 87 Å³/cell
# - DOS(E_F): 2.7 states/eV per cell
# - Calculated density: 12.46 g cm⁻³
# - E: -2.877 eV per atom
data_ScTlHg2
_chemical_formula_sum 'Sc1 Tl1 Hg2'
_cell_length_a 4.421
_cell_length_b 4.421
_cell_length_c 4.437
_cell_angle_alpha 90.00
_cell_angle_beta 90.00
_cell_angle_gamma 90.00
_symmetry_space_group_name_H-M 'P 4/m m m'
_symmetry_Int_Tables_number 123
_symmetry_space_group_name_Hall '-P 4 2'
loop_
_atom_site_label
_atom_site_type_symbol
_atom_site_fract_x
_atom_site_fract_y
_atom_site_fract_z
_atom_site_occupancy
Sc1 Sc 0.000 0.000 0.000 1
Tl1 Tl 0.500 0.500 0.000 1
Hg1 Hg 0.000 0.500 0.500 1


[7]
# PBEsol SiBH3CNCl3, relaxed
# - Calculated volume: 3236 Å³/cell
# - DOS(E_F): 0.0 states/eV per cell
# - Calculated density: 1.61 g cm⁻³
# - E: -5.471 eV per atom
data_SiBH3CNCl3
_chemical_formula_sum 'Si18 B18 H54 C18 N18 Cl54'
_cell_length_a 17.1023
_cell_length_b 17.1023
_cell_length_c 12.7757
_cell_angle_alpha 90.00
_cell_angle_beta 90.00
_cell_angle_gamma 120.00
_symmetry_space_group_name_H-M 'R 3 c'
_symmetry_Int_Tables_number 161
_symmetry_space_group_name_Hall 'R 3 -2"c'
loop_
_atom_site_label
_atom_site_type_symbol
_atom_site_fract_x
_atom_site_fract_y
_atom_site_fract_z
_atom_site_occupancy
Si1 Si 0.1275 0.4400 0.0000 1
B1 B 0.0869 0.0037 0.4700 1
H1 H 0.0065 0.1451 0.9691 1
H2 H 0.0545 0.2319 0.4983 1
H3 H 0.1651 0.4332 0.1790 1
C1 C 0.1596 0.4853 0.1335 1
N1 N 0.0036 0.0840 0.9702 1
Cl1 Cl 0.0118 0.3157 0.9973 1
Cl2 Cl 0.0854 0.2279 0.2397 1
Cl3 Cl 0.1969 0.4235 0.4317 1


[8]
# PBEsol Sc2WBr, relaxed
# - Distance to the lowest polymorph of the same formula: 0.000 eV/atom
# - Calculated volume: 156 Å³/cell
# - DOS(E_F): 7.6 states/eV per cell
# - E_form (uncorrected): -0.8 eV/f.u.
# - Calculated density: 7.54 g cm⁻³
# - E: -7.430 eV per atom
data_Sc2WBr
_chemical_formula_sum 'Sc4 W2 Br2'
_cell_length_a 3.642
_cell_length_b 5.102
_cell_length_c 8.381
_cell_angle_alpha 90.00
_cell_angle_beta 90.00
_cell_angle_gamma 90.00
_symmetry_space_group_name_H-M 'C m m m'
_symmetry_Int_Tables_number 65
_symmetry_space_group_name_Hall '-C 2 2'
loop_
_atom_site_label
_atom_site_type_symbol
_atom_site_fract_x
_atom_site_fract_y
_atom_site_fract_z
_atom_site_occupancy
Sc1 Sc 0.000 0.000 0.237 1
W1 W 0.000 0.500 0.000 1
Br1 Br 0.000 0.500 0.500 1


[9]
# PBEsol BaCaTl2, relaxed
# - Calculated formation energy: -0.409 eV per atom
# - Calculated volume: 130 Å³/cell
# - DOS(E_F): 3.0 states/eV per cell
# - Calculated density: 7.48 g cm⁻³
# - E: -2.795 eV per atom
data_BaCaTl2
_chemical_formula_sum 'Ba1 Ca1 Tl2'
_cell_length_a 4.005
_cell_length_b 5.564
_cell_length_c 5.841
_cell_angle_alpha 90.00
_cell_angle_beta 90.04
_cell_angle_gamma 90.00
_symmetry_space_group_name_H-M 'P 1 m 1'
_symmetry_Int_Tables_number 6
loop_
_symmetry_equiv_pos_as_xyz
'x,y,z'
'x,-y,z'
loop_
_atom_site_label
_atom_site_type_symbol
_atom_site_fract_x
_atom_site_fract_y
_atom_site_fract_z
_atom_site_occupancy
Ba1 Ba 0.000 0.000 0.000 1
Ca1 Ca 0.999 0.500 0.447 1
Tl1 Tl 0.500 0.000 0.507 1
Tl2 Tl 0.500 0.500 0.904 1


[10]
# PBEsol Ba2CaCd, relaxed
# - Calculated formation energy: -0.144 eV per atom
# - Calculated volume: 168 Å³/cell
# - DOS(E_F): 4.7 states/eV per cell
# - Calculated density: 4.23 g cm⁻³
# - E: -2.051 eV per atom
data_Ba2CaCd
_chemical_formula_sum 'Ba2 Ca1 Cd1'
_cell_length_a 4.082
_cell_length_b 4.082
_cell_length_c 10.065
_cell_angle_alpha 90.00
_cell_angle_beta 90.00
_cell_angle_gamma 90.00
_symmetry_space_group_name_H-M 'P 4 m m'
_symmetry_Int_Tables_number 99
loop_
_symmetry_equiv_pos_as_xyz
'x,y,z'
'-y,x,z'
'-x,-y,z'
'y,-x,z'
'-x,y,z'
'y,x,z'
'x,-y,z'
'-y,-x,z'
loop_
_atom_site_label
_atom_site_type_symbol
_atom_site_fract_x
_atom_site_fract_y
_atom_site_fract_z
_atom_site_occupancy
Ba1 Ba 0.000 0.000 0.000 1
Ba2 Ba 0.500 0.500 0.345 1
Ca1 Ca 0.000 0.000 0.635 1
Cd1 Cd 0.500 0.500 0.786 1